(1)
Material: Pr4DyS5
Method: DFT, PBE
State: relaxed

```
Pr4DyS5
1.0
-2.033 2.033 14.411
2.033 -2.033 14.411
2.033 2.033 -14.411
Pr Dy S
4 1 5
Cartesian
0.000 0.000 2.903 Pr
0.000 0.000 8.747 Pr
0.000 0.000 20.075 Pr
0.000 0.000 25.920 Pr
0.000 0.000 14.411 Dy
0.000 0.000 0.000 S
0.000 0.000 5.816 S
0.000 0.000 11.656 S
0.000 0.000 17.167 S
0.000 0.000 23.007 S
```

---

(2)
Material: BaSrGa
Method: DFT, PBE
State: relaxed

Values from the calculation:
- Energy relative to the elements: -0.18 eV per atom
- Excess energy over the best structure of this formula in the dataset: 0.085 eV/atom

```
BaSrGa
1.0
8.012 0.000 0.000
0.000 8.012 0.000
0.000 0.000 8.012
Ba Sr Ga
4 4 4
Cartesian
0.000 0.000 0.000 Ba
0.000 4.006 4.006 Ba
4.006 0.000 4.006 Ba
4.006 4.006 0.000 Ba
0.000 0.000 4.006 Sr
0.000 4.006 0.000 Sr
4.006 0.000 0.000 Sr
4.006 4.006 4.006 Sr
2.003 2.003 6.009 Ga
2.003 6.009 2.003 Ga
6.009 2.003 2.003 Ga
6.009 6.009 6.009 Ga
```

---

(3)
Material: NaLiI2
Method: DFT, PBE
State: relaxed

Values from the calculation:
- Excess energy over the best structure of this formula in the dataset: 0.012 eV/atom

```
NaLiI2
1.0
4.763 0.000 0.000
-2.381 4.125 0.000
0.000 0.000 8.000
Na Li I
1 1 2
Cartesian
0.000 0.000 0.000 Na
0.000 2.750 3.927 Li
0.000 0.000 3.083 I
0.000 2.750 6.709 I
```

---

(4)
Material: K3CdTe2
Method: DFT, PBE
State: relaxed

```
K3CdTe2
1.0
-4.093 7.870 4.338
4.093 -7.870 4.338
4.093 7.870 -4.338
K Cd Te
6 2 4
Cartesian
4.093 -3.629 2.169 K
0.000 0.000 2.169 K
4.093 3.629 2.169 K
0.000 4.240 2.169 K
0.000 0.000 6.506 K
0.000 11.499 2.169 K
4.093 0.000 0.000 Cd
0.000 7.870 0.000 Cd
1.882 2.040 0.000 Te
1.882 -2.040 4.338 Te
2.210 9.910 0.000 Te
2.210 5.829 4.338 Te
```

---

(5)
Material: LaSiSb2
Method: DFT, PBE
State: relaxed

```
LaSiSb2
1.0
4.640 0.000 0.000
0.000 4.640 0.000
0.000 0.000 4.736
La Si Sb
1 1 2
Cartesian
0.000 0.000 0.000 La
2.320 2.320 0.000 Si
0.000 2.320 2.368 Sb
2.320 0.000 2.368 Sb
```

---

(6)
Material: ZnTeP
Method: DFT, PBE
State: relaxed

Values from the calculation:
- Excess energy over the best structure of this formula in the dataset: 0.517 eV/atom

```
ZnTeP
1.0
3.903 0.000 0.000
0.000 5.357 0.000
0.000 0.000 11.953
Zn Te P
4 4 4
Cartesian
0.000 0.000 0.000 Zn
0.000 2.679 5.976 Zn
1.952 0.000 5.976 Zn
1.952 2.679 0.000 Zn
0.000 0.000 3.800 Te
0.000 2.679 9.776 Te
1.952 0.000 9.776 Te
1.952 2.679 3.800 Te
0.000 0.000 7.357 P
0.000 2.679 1.381 P
1.952 0.000 1.381 P
1.952 2.679 7.357 P
```

---

(7)
Material: PrNpIn2O8
Method: DFT, PBE
State: relaxed

```
PrNpIn2O8
1.0
3.579 -3.580 0.000
3.579 3.580 0.000
0.000 0.000 6.969
Pr Np In O
1 1 2 8
Cartesian
0.000 0.000 0.000 Pr
0.000 0.000 3.485 Np
3.579 0.000 1.742 In
3.579 0.000 5.227 In
3.579 2.236 1.999 O
3.579 2.236 4.970 O
2.124 0.000 3.485 O
2.286 0.000 0.000 O
4.871 0.000 0.000 O
5.033 0.000 3.485 O
3.579 -2.236 1.999 O
3.579 -2.236 4.970 O
```

---

(8)
Material: Sc4Ga3Ag
Method: DFT, PBE
State: relaxed

Values from the calculation:
- Energy relative to the elements: -0.53 eV per atom

```
Sc4Ga3Ag
1.0
9.546 0.000 0.000
0.000 6.781 0.000
0.000 0.000 4.773
Sc Ga Ag
8 6 2
Cartesian
0.000 1.672 0.000 Sc
0.000 5.109 0.000 Sc
2.386 1.672 2.382 Sc
2.386 5.109 2.382 Sc
4.773 1.672 0.000 Sc
4.773 5.109 0.000 Sc
7.159 1.672 2.391 Sc
7.159 5.109 2.391 Sc
0.000 0.000 2.386 Ga
2.386 0.000 4.767 Ga
2.386 3.390 4.768 Ga
4.773 0.000 2.386 Ga
7.159 0.000 0.006 Ga
7.159 3.390 0.005 Ga
0.000 3.390 2.386 Ag
4.773 3.390 2.386 Ag
```

---

(9)
Material: CoSbBr2
Method: DFT, PBE
State: relaxed

Values from the calculation:
- Excess energy over the best structure of this formula in the dataset: 0.815 eV/atom

```
CoSbBr2
1.0
7.120 0.000 0.000
0.000 7.120 0.000
0.000 0.000 7.120
Co Sb Br
4 4 8
Cartesian
0.000 0.000 0.000 Co
0.000 3.560 3.560 Co
3.560 0.000 3.560 Co
3.560 3.560 0.000 Co
0.000 0.000 3.560 Sb
0.000 3.560 0.000 Sb
3.560 0.000 0.000 Sb
3.560 3.560 3.560 Sb
1.780 1.780 1.780 Br
1.780 1.780 5.340 Br
1.780 5.340 1.780 Br
1.780 5.340 5.340 Br
5.340 1.780 1.780 Br
5.340 1.780 5.340 Br
5.340 5.340 1.780 Br
5.340 5.340 5.340 Br
```

---

(10)
Material: HfIn3Hg
Method: DFT, PBE
State: relaxed

Values from the calculation:
- Energy relative to the elements: 0.88 eV per atom
- Excess energy over the best structure of this formula in the dataset: 0.289 eV/atom

```
HfIn3Hg
1.0
5.373 0.000 0.000
0.000 5.373 0.000
0.000 0.000 5.373
Hf In Hg
1 3 1
Cartesian
0.000 0.000 0.000 Hf
0.000 2.686 2.686 In
2.686 0.000 2.686 In
2.686 2.686 0.000 In
2.686 2.686 2.686 Hg
```

---

(11)
Material: Pm5BiS4
Method: DFT, PBE
State: relaxed

```
Pm5BiS4
1.0
6.876 -2.064 0.000
6.876 2.064 0.000
-5.018 0.000 8.887
Pm Bi S
5 1 4
Cartesian
0.000 0.000 0.000 Pm
-1.247 0.000 7.280 Pm
2.270 0.000 5.485 Pm
6.464 0.000 3.403 Pm
9.981 0.000 1.607 Pm
-2.509 0.000 4.444 Bi
1.358 0.000 2.595 S
5.069 0.000 0.923 S
3.665 0.000 7.964 S
7.376 0.000 6.292 S
```

---

(12)
Material: NbCu2AgGe
Method: DFT, PBE
State: relaxed

Values from the calculation:
- Energy relative to the elements: 1.21 eV per atom

```
NbCu2AgGe
1.0
4.558 0.000 0.000
0.000 4.558 0.000
0.000 0.000 5.091
Nb Cu Ag Ge
1 2 1 1
Cartesian
0.000 0.000 0.000 Nb
0.000 2.279 2.546 Cu
2.279 0.000 2.546 Cu
0.000 0.000 2.546 Ag
2.279 2.279 0.000 Ge
```

---

Computed values of total energy (unit: eV per atom) for the preceding records, in sequence: -6.437 -2.393 -2.783 -2.445 -5.057 -2.882 -7.471 -5.191 -2.963 -2.814 -6.173 -3.941.